This record from Alexandria describes a relaxed SmFe3As3 crystal. The functional is PBE.

The structure in POSCAR format:
```
SmFe3As3
1.0
-4.712 3.134 3.051
-4.067 -1.490 -4.751
-1.608 -5.412 3.075
As Fe Sm
6 6 2
direct
0.250 0.500 0.000 As
0.750 0.500 0.000 As
0.000 0.750 0.500 As
0.000 0.250 0.500 As
0.500 0.000 0.250 As
0.500 0.000 0.750 As
0.500 0.250 0.000 Fe
0.250 0.000 0.500 Fe
0.000 0.500 0.750 Fe
0.750 0.000 0.500 Fe
0.500 0.750 0.000 Fe
0.000 0.500 0.250 Fe
0.000 0.000 0.000 Sm
0.500 0.500 0.500 Sm
```

Computed properties:
Energy relative to the elements: -0.069 eV/atom
Crystal system: cubic
Energy: -44.54 eV per formula unit

***

This record from Alexandria describes a relaxed FeSnAs2 crystal. The functional is PBE.

The structure in POSCAR format:
```
FeSnAs2
1.0
3.885 0.000 0.000
1.942 3.364 0.000
1.942 1.121 7.873
Sn As Fe
1 2 1
direct
0.500 0.500 0.500 Sn
0.098 0.098 0.707 As
0.902 0.902 0.293 As
0.000 0.000 0.000 Fe
```

Computed properties:
Energy relative to the elements: 0.584 eV/atom
Crystal system: trigonal
Energy: -19.43 eV per formula unit

***

This record from Alexandria describes a relaxed FeSn3As crystal. The functional is PBE.

The structure in POSCAR format:
```
FeSn3As
1.0
-0.811 3.780 3.597
-0.342 -3.671 3.781
5.207 0.348 0.808
Sn As Fe
3 1 1
direct
0.500 0.000 0.000 Sn
0.000 0.000 0.500 Sn
0.000 0.500 0.000 Sn
0.000 0.000 0.000 As
0.500 0.500 0.500 Fe
```

Computed properties:
Energy relative to the elements: 1.041 eV/atom
Crystal system: cubic
Energy: -19.91 eV per formula unit

***

This record from Alexandria describes a relaxed Fe2SnAs crystal. The functional is PBE.

The structure in POSCAR format:
```
Fe2SnAs
1.0
0.000 3.080 3.080
3.080 0.000 3.080
3.080 3.080 0.000
Sn Fe As
1 2 1
direct
0.500 0.500 0.500 Sn
0.250 0.250 0.250 Fe
0.750 0.750 0.750 Fe
0.000 0.000 0.000 As
```

Computed properties:
Energy relative to the elements: 0.308 eV/atom
Crystal system: cubic
Energy: -24.35 eV per formula unit

***

This record from Alexandria describes a relaxed Fe3SnAs crystal. The functional is PBE.

The structure in POSCAR format:
```
Fe3SnAs
1.0
4.722 0.000 0.000
0.000 4.722 0.000
0.000 0.000 4.722
Fe Sn As
3 1 1
direct
0.500 0.000 0.000 Fe
0.000 0.000 0.500 Fe
0.000 0.500 0.000 Fe
0.000 0.000 0.000 Sn
0.500 0.500 0.500 As
```

Computed properties:
Energy relative to the elements: 1.463 eV/atom
Crystal system: cubic
Energy: -26.72 eV per formula unit

***

This record from Alexandria describes a relaxed FeSn3As crystal. The functional is PBE.

The structure in POSCAR format:
```
FeSn3As
1.0
-3.105 -1.231 -3.602
0.102 -4.673 1.509
-3.805 0.880 2.979
Sn As Fe
3 1 1
direct
0.500 0.000 0.000 Sn
0.000 0.500 0.000 Sn
0.000 0.000 0.500 Sn
0.500 0.500 0.500 As
0.000 0.000 0.000 Fe
```

Computed properties:
Energy relative to the elements: 0.219 eV/atom
Crystal system: cubic
Energy: -24.03 eV per formula unit

***

This record from Alexandria describes a relaxed FeSnAs crystal. The functional is PBE.

The structure in POSCAR format:
```
FeSnAs
1.0
6.161 0.000 0.000
0.000 6.522 -0.495
0.000 -3.281 5.658
Fe Sn As
4 4 4
direct
0.510 0.229 0.021 Fe
0.510 0.729 0.521 Fe
0.010 0.271 0.479 Fe
0.010 0.771 0.979 Fe
0.642 0.153 0.597 Sn
0.141 0.347 0.903 Sn
0.142 0.847 0.403 Sn
0.641 0.653 0.097 Sn
0.351 0.854 0.896 As
0.351 0.354 0.396 As
0.851 0.646 0.604 As
0.851 0.146 0.104 As
```

Computed properties:
Energy relative to the elements: -0.014 eV/atom
Crystal system: orthorhombic
Energy: -17.16 eV per formula unit

***

This record from Alexandria describes a relaxed Fe2SnAs crystal. The functional is PBE.

The structure in POSCAR format:
```
Fe2SnAs
1.0
7.030 0.000 0.000
0.000 7.030 0.000
3.515 3.515 2.832
As Sn Fe
2 2 4
direct
0.250 0.750 0.500 As
0.500 0.500 0.000 As
0.000 0.000 0.000 Sn
0.750 0.250 0.500 Sn
0.174 0.625 0.250 Fe
0.875 0.826 0.750 Fe
0.375 0.424 0.750 Fe
0.576 0.125 0.250 Fe
```

Computed properties:
Energy relative to the elements: 0.439 eV/atom
Crystal system: tetragonal
Energy: -23.82 eV per formula unit